A plane-wave DFT calculation with GGA-PBEsol was carried out for crystalline Zn2CdHg at its relaxed geometry.

a b c (Å): 4.1227 4.1227 5.1340
angles (deg): 113.67 113.67 90.00
Closest atoms and distances in Å follow each position.
Element x y z (fractional)
Cd1 0.5000 0.5000 0.0000  8 Zn 2.92-2.95, 4 Hg 2.95
Hg1 0.2500 0.7500 0.5000  8 Zn 2.92-2.95, 4 Cd 2.95
Zn1 0.0000 0.0000 0.0000  4 Cd 2.92, 4 Hg 2.95, 4 Zn 2.95
Zn2 0.7500 0.2500 0.5000  4 Hg 2.92, 4 Cd 2.95, 4 Zn 2.95

Distance to the lowest polymorph of the same formula (eV/atom): 0.026
Total magnetic moment (μB/atom): 0.00
Energy of formation (meV per atom): 91.1